*i*
# Al9Ni4 (PBE, relaxed)
# Crystal system: trigonal
# Calculated density (g/cm³): 4.19
# Total magnetic moment (μB/cell): 0.0
data_Al9Ni4
_symmetry_space_group_name_H-M 'R -3 m'
_symmetry_Int_Tables_number 166
_symmetry_space_group_name_Hall '-R 3 2"'
_cell_length_a 5.1465
_cell_length_b 5.1465
_cell_length_c 24.7519
_cell_angle_alpha 90.00
_cell_angle_beta 90.00
_cell_angle_gamma 120.00
loop_
_atom_site_label
_atom_site_fract_x
_atom_site_fract_y
_atom_site_fract_z
Al1 0.0000 0.0000 0.0000
Al2 0.0000 0.0000 0.3503
Al3 0.0008 0.5004 0.4223
Ni1 0.0000 0.0000 0.1672
Ni2 0.0000 0.0000 0.4477

***

*ii*
# Al9Ni4 (PBE, relaxed)
# Crystal system: trigonal
# Calculated density (g/cm³): 4.17
# Total magnetic moment (μB/cell): 0.1
data_Al9Ni4
_symmetry_space_group_name_H-M 'R -3 m'
_symmetry_Int_Tables_number 166
_symmetry_space_group_name_Hall '-R 3 2"'
_cell_length_a 4.9676
_cell_length_b 4.9676
_cell_length_c 26.7292
_cell_angle_alpha 90.00
_cell_angle_beta 90.00
_cell_angle_gamma 120.00
loop_
_atom_site_label
_atom_site_fract_x
_atom_site_fract_y
_atom_site_fract_z
Al1 0.0000 0.0000 0.0000
Al2 0.0000 0.0000 0.1668
Al3 0.0042 0.5021 0.4114
Ni1 0.0000 0.0000 0.3379
Ni2 0.0000 0.0000 0.4434

***

*iii*
# Al9Ni4 (PBE, relaxed)
# Crystal system: trigonal
# Calculated density (g/cm³): 4.13
# Total magnetic moment (μB/cell): 0.0
data_Al9Ni4
_symmetry_space_group_name_H-M 'R -3 m'
_symmetry_Int_Tables_number 166
_symmetry_space_group_name_Hall '-R 3 2"'
_cell_length_a 5.2462
_cell_length_b 5.2462
_cell_length_c 24.1706
_cell_angle_alpha 90.00
_cell_angle_beta 90.00
_cell_angle_gamma 120.00
loop_
_atom_site_label
_atom_site_fract_x
_atom_site_fract_y
_atom_site_fract_z
Al1 0.0000 0.0000 0.0000
Al2 0.0000 0.0000 0.4493
Al3 0.0057 0.5028 0.4169
Ni1 0.0000 0.0000 0.1670
Ni2 0.0000 0.0000 0.3428

***

What are the relative energies? In kJ/mol of atoms: *i* 0.0; *ii* 16.2; *iii* 12.4.

***

*i*
# Al13Ni16 (PBE, relaxed)
# Crystal system: cubic
# Calculated density (g/cm³): 5.95
# Total magnetic moment (μB/cell): 0.0
data_Al13Ni16
_symmetry_space_group_name_H-M 'I -4 3 m'
_symmetry_Int_Tables_number 217
_symmetry_space_group_name_Hall 'I -4 2 3'
_cell_length_a 8.9629
_cell_length_b 8.9629
_cell_length_c 8.9629
_cell_angle_alpha 90.00
_cell_angle_beta 90.00
_cell_angle_gamma 90.00
loop_
_atom_site_label
_atom_site_fract_x
_atom_site_fract_y
_atom_site_fract_z
Al1 0.0000 0.0000 0.0000
Al2 0.0991 0.0991 0.6942
Ni1 0.0566 0.3600 0.6400
Ni2 0.1588 0.1588 0.1588

***

*ii*
# Al13Ni16 (PBE, relaxed)
# Crystal system: cubic
# Calculated density (g/cm³): 6.01
# Total magnetic moment (μB/cell): 0.0
data_Al13Ni16
_symmetry_space_group_name_H-M 'I -4 3 m'
_symmetry_Int_Tables_number 217
_symmetry_space_group_name_Hall 'I -4 2 3'
_cell_length_a 8.9324
_cell_length_b 8.9324
_cell_length_c 8.9324
_cell_angle_alpha 90.00
_cell_angle_beta 90.00
_cell_angle_gamma 90.00
loop_
_atom_site_label
_atom_site_fract_x
_atom_site_fract_y
_atom_site_fract_z
Al1 0.0000 0.0000 0.0000
Al2 0.0599 0.3580 0.6420
Ni1 0.0941 0.0941 0.7094
Ni2 0.1733 0.1733 0.1733

***

What are the relative energies? In kJ/mol of atoms: *i* 5.3; *ii* 0.0.

***

*i*
# Al5Ni8 (PBE, relaxed)
# Crystal system: trigonal
# Calculated density (g/cm³): 6.34
# Total magnetic moment (μB/cell): 0.0
data_Al5Ni8
_symmetry_space_group_name_H-M 'R -3 m'
_symmetry_Int_Tables_number 166
_symmetry_space_group_name_Hall '-R 3 2"'
_cell_length_a 4.8147
_cell_length_b 4.8147
_cell_length_c 23.6642
_cell_angle_alpha 90.00
_cell_angle_beta 90.00
_cell_angle_gamma 120.00
loop_
_atom_site_label
_atom_site_fract_x
_atom_site_fract_y
_atom_site_fract_z
Al1 0.0000 0.0000 0.0000
Al2 0.0000 0.0000 0.1648
Al3 0.0000 0.0000 0.3531
Ni1 0.0000 0.0000 0.4519
Ni2 0.0070 0.5035 0.4118

***

*ii*
# Al5Ni8 (PBE, relaxed)
# Crystal system: trigonal
# Calculated density (g/cm³): 6.25
# Total magnetic moment (μB/cell): 0.0
data_Al5Ni8
_symmetry_space_group_name_H-M 'R -3 m'
_symmetry_Int_Tables_number 166
_symmetry_space_group_name_Hall '-R 3 2"'
_cell_length_a 4.7955
_cell_length_b 4.7955
_cell_length_c 24.1928
_cell_angle_alpha 90.00
_cell_angle_beta 90.00
_cell_angle_gamma 120.00
loop_
_atom_site_label
_atom_site_fract_x
_atom_site_fract_y
_atom_site_fract_z
Al1 0.0000 0.0000 0.0000
Al2 0.0000 0.0000 0.1654
Al3 0.0000 0.0000 0.4427
Ni1 0.0000 0.0000 0.3437
Ni2 0.0054 0.5027 0.4144

***

*iii*
# Al5Ni8 (PBE, relaxed)
# Crystal system: trigonal
# Calculated density (g/cm³): 6.25
# Total magnetic moment (μB/cell): 0.2
data_Al5Ni8
_symmetry_space_group_name_H-M 'R -3 m'
_symmetry_Int_Tables_number 166
_symmetry_space_group_name_Hall '-R 3 2"'
_cell_length_a 4.7381
_cell_length_b 4.7381
_cell_length_c 24.7765
_cell_angle_alpha 90.00
_cell_angle_beta 90.00
_cell_angle_gamma 120.00
loop_
_atom_site_label
_atom_site_fract_x
_atom_site_fract_y
_atom_site_fract_z
Al1 0.0000 0.0000 0.0000
Al2 0.0000 0.0000 0.3456
Al3 0.0000 0.0000 0.4497
Ni1 0.0000 0.0000 0.1658
Ni2 0.0044 0.5022 0.4099

***

What are the relative energies? In kJ/mol of atoms: *i* 3.1; *ii* 0.0; *iii* 11.0.